Record 1
Here is Lu2HfAg after structural relaxation from the Open Quantum Materials Database. Energies are from PBE.

Lattice parameters (Å, degrees): 5.0856 5.0856 5.0856 60.00 60.00 60.00
With the nearest neighbours (Å) after each atom.
Positions (direct):
1 Ag 0.5000 0.5000 0.5000  4 Hf 3.11, 4 Lu 3.11
2 Hf 0.2500 0.2500 0.2500  4 Lu 3.11, 4 Ag 3.11
3 Lu 0.0000 0.0000 0.0000  4 Hf 3.11, 4 Lu 3.11
4 Lu 0.7500 0.7500 0.7500  4 Ag 3.11, 4 Lu 3.11

Calculated values
DFT formation energy   82 kJ/mol of formula units
VASP energy   -5.245 eV/atom

Record 2
Here is KNpCl6 after structural relaxation from the Open Quantum Materials Database. Energies are from PBE.

Lattice parameters (Å, degrees): 7.6382 7.6382 7.6382 54.83 54.83 54.83
With the nearest neighbours (Å) after each atom.
Positions (direct):
1 Cl 0.5892 0.0916 0.0916  1 Np 2.52
2 Cl 0.0916 0.5892 0.0916  1 Np 2.52
3 Cl 0.9084 0.9084 0.4108  1 Np 2.52
4 Cl 0.0916 0.0916 0.5892  1 Np 2.52
5 Cl 0.9084 0.4108 0.9084  1 Np 2.52
6 Cl 0.4108 0.9084 0.9084  1 Np 2.52
7 K 0.5000 0.5000 0.5000  12 Cl 3.93
8 Np 0.0000 0.0000 0.0000  6 Cl 2.52

Calculated values
VASP energy   -4.717 eV/atom

V for every record listed, in sequence, given in Å³/cell: 93.0, 277.2.